1.
Mg2Cd2P after structural relaxation. Source: the Alexandria database, functional PBE.

The structure in POSCAR format:
```
Mg2Cd2P
1.0
-2.041 2.041 6.801
2.041 -2.041 6.801
2.041 2.041 -6.801
Mg Cd P
2 2 1
Direct
0.250 0.750 0.500 Mg
0.750 0.250 0.500 Mg
0.098 0.098 0.000 Cd
0.902 0.902 0.000 Cd
0.500 0.500 0.000 P
```

Results
- Formation energy: 0.322 eV/atom
- Symmetry: I4/mmm, No. 139
- ΔE to the lowest computed polymorph: 1.677 eV per formula unit
- Calculated total energy: -1.763 eV/atom
- Density of states at the Fermi level: 1.90 states/eV/f.u.

=====

2.
Be2CuSe after structural relaxation. Source: the Alexandria database, functional PBE.

The structure in POSCAR format:
```
Be2CuSe
1.0
3.330 0.000 0.000
0.000 3.158 0.000
-0.019 0.000 5.250
Be Cu Se
2 1 1
Direct
0.000 0.000 0.199 Be
0.000 0.000 0.801 Be
0.500 0.500 0.000 Cu
0.000 0.500 0.500 Se
```

Results
- Formation energy (no corrections): 0.1902 eV/atom
- Symmetry: P2/m, No. 10
- Calculated total energy: -3.568 eV/atom
- Density of states at the Fermi level: 0.71 states/eV/f.u.

=====

3.
TbPmCu2 after structural relaxation. Source: the Alexandria database, functional PBE.

The structure in POSCAR format:
```
TbPmCu2
1.0
0.000 3.527 3.527
3.527 0.000 3.527
3.527 3.527 0.000
Tb Pm Cu
1 1 2
Direct
0.000 0.000 0.000 Tb
0.500 0.500 0.500 Pm
0.250 0.250 0.250 Cu
0.750 0.750 0.750 Cu
```

Results
- Formation energy: -0.193 eV/atom
- Symmetry: Fm-3m, No. 225
- ΔE to the lowest computed polymorph: 0.096 eV per formula unit
- Calculated total energy: -4.587 eV/atom
- Density of states at the Fermi level: 3.46 states/eV/f.u.

=====

4.
NdThAu2 after structural relaxation. Source: the Alexandria database, functional PBE.

The structure in POSCAR format:
```
NdThAu2
1.0
5.302 0.000 0.000
0.000 5.302 0.000
0.000 0.000 3.649
Nd Th Au
1 1 2
Direct
0.000 0.000 0.000 Nd
0.500 0.500 0.000 Th
0.000 0.500 0.500 Au
0.500 0.000 0.500 Au
```

Results
- Formation energy: -0.657 eV/atom
- Symmetry: P4/mmm, No. 123
- Calculated total energy: -5.343 eV/atom
- Density of states at the Fermi level: 3.40 states/eV/f.u.

=====

5.
Li2Cd3Hg7 after structural relaxation. Source: the Alexandria database, functional PBE.

The structure in POSCAR format:
```
Li2Cd3Hg7
1.0
5.404 0.000 0.000
0.000 4.972 0.000
-0.934 0.000 10.744
Li Cd Hg
2 3 7
Direct
0.122 0.000 0.287 Li
0.878 0.000 0.713 Li
0.000 0.000 0.000 Cd
0.451 0.500 0.353 Cd
0.549 0.500 0.647 Cd
0.008 0.500 0.822 Hg
0.255 0.000 0.552 Hg
0.435 0.000 0.829 Hg
0.500 0.500 0.000 Hg
0.565 0.000 0.171 Hg
0.745 0.000 0.448 Hg
0.992 0.500 0.178 Hg
```

Results
- Formation energy: -0.072 eV/atom
- Symmetry: P2/m, No. 10
- ΔE to the lowest computed polymorph: 0.000 eV per formula unit
- Calculated total energy: -0.796 eV/atom
- Density of states at the Fermi level: 4.15 states/eV/f.u.

=====

6.
MnZn2Ir after structural relaxation. Source: the Alexandria database, functional PBE.

The structure in POSCAR format:
```
MnZn2Ir
1.0
1.389 0.802 8.588
-1.389 0.802 8.588
0.000 -1.604 8.588
Mn Zn Ir
1 2 1
Direct
0.000 0.000 0.000 Mn
0.249 0.249 0.249 Zn
0.751 0.751 0.751 Zn
0.500 0.500 0.500 Ir
```

Results
- Formation energy: 0.023 eV/atom
- Symmetry: R-3m, No. 166
- Calculated total energy: -5.122 eV/atom
- Density of states at the Fermi level: 3.20 states/eV/f.u.

=====

no.,spin magnetization (μB per cell)
1,0.0
2,0.0
3,0.0
4,0.0
5,0.0
6,3.3